Re2Hg2Pb: optimized geometry, PBE.

Summary:
As for the relative energy among the computed polymorphs: 0.0 meV per atom. The space-group type is P4/mbm, No. 127. As for the total moment: 0.000 μB per cell.

Geometry as CIF:
```
data_Re2Hg2Pb
_chemical_formula_sum 'Re4 Hg4 Pb2'
_cell_length_a 8.461
_cell_length_b 8.461
_cell_length_c 2.945
_cell_angle_alpha 90.00
_cell_angle_beta 90.00
_cell_angle_gamma 90.00
_symmetry_space_group_name_H-M 'P 1'
_symmetry_Int_Tables_number 1
_symmetry_space_group_name_Hall 'P 1'
loop_
_atom_site_label
_atom_site_fract_x
_atom_site_fract_y
_atom_site_fract_z
Pb1 0.000 0.000 0.000
Pb2 0.500 0.500 0.000
Re1 0.402 0.902 0.000
Re2 0.902 0.598 0.000
Re3 0.598 0.098 0.000
Re4 0.098 0.402 0.000
Hg1 0.807 0.307 0.500
Hg2 0.307 0.193 0.500
Hg3 0.193 0.693 0.500
Hg4 0.693 0.807 0.500
```